1.
CoNiPt2 SCAN PBEsol geometry; total moment = 3.8 μB per formula unit; formation energy = -171.3 meV per atom
1.0
2.663 0.000 0.000
0.000 3.620 0.000
0.000 0.000 5.339
Co Ni Pt
1 1 2
direct
0.000 0.000 0.000 Co
0.000 0.000 0.500 Ni
0.500 0.500 0.249 Pt
0.500 0.500 0.751 Pt

=====

2.
Co2NiPt SCAN PBEsol geometry; total moment = 5.1 μB per formula unit; formation energy = -126.1 meV per atom
1.0
3.577 0.000 0.000
0.000 3.577 0.000
0.000 0.000 7.298
Co Ni Pt
4 2 2
direct
0.000 0.500 0.250 Co
0.000 0.500 0.750 Co
0.500 0.000 0.250 Co
0.500 0.000 0.750 Co
0.000 0.000 0.000 Ni
0.500 0.500 0.500 Ni
0.000 0.000 0.500 Pt
0.500 0.500 0.000 Pt

=====

3.
Co2NiPt SCAN PBEsol geometry; total moment = 5.1 μB per formula unit; formation energy = -118.8 meV per atom
1.0
3.623 0.000 0.000
0.000 3.623 0.000
0.000 0.000 7.120
Co Ni Pt
4 2 2
direct
0.000 0.000 0.000 Co
0.000 0.500 0.250 Co
0.500 0.000 0.750 Co
0.500 0.500 0.500 Co
0.000 0.500 0.750 Ni
0.500 0.000 0.250 Ni
0.000 0.000 0.500 Pt
0.500 0.500 0.000 Pt